# 1
LaLuGe: relaxed, GGA-PBE.

Cell and atoms, written as POSCAR:
```
LaLuGe
1.0
3.575 -3.318 -0.527
-0.204 -4.238 2.463
-0.876 -4.190 -2.396
Ge La Lu
1 1 1
Cartesian
0.624 -2.937 -0.115
1.872 -8.810 -0.345
0.000 0.000 0.000
```

## Properties
The calculation puts the electronic total energy at -4.535 eV/atom. Its calculated density is 7.69 g/cm³.

---

# 2
LaLuZn2Ge2: relaxed, GGA-PBE.

Cell and atoms, written as POSCAR:
```
LaLuZn2Ge2
1.0
-3.988 0.876 1.263
3.074 -0.621 2.904
3.384 15.714 -0.218
Ge La Lu Zn
4 2 2 4
Cartesian
-1.225 2.277 1.784
-0.352 6.334 1.727
2.821 9.635 2.222
3.694 13.692 2.165
0.000 0.000 0.000
1.692 7.857 -0.109
0.846 3.929 -0.055
2.538 11.786 -0.164
1.255 2.361 2.323
1.877 5.252 2.283
0.592 10.718 1.666
1.215 13.608 1.626
```

## Properties
The calculation puts the electronic total energy at -4.212 eV/atom. Its calculated density is 7.70 g/cm³.

---

# 3
LaMgGe2Pd: relaxed, GGA-PBE.

Cell and atoms, written as POSCAR:
```
LaMgGe2Pd
1.0
5.544 0.591 -3.127
5.584 -2.164 2.236
-6.047 -1.862 -0.911
Ge La Mg Pd
2 1 1 1
Cartesian
4.325 -0.612 -0.347
6.803 -0.962 -0.545
0.000 0.000 0.000
2.551 -2.406 0.439
2.530 -1.029 -2.242
```

## Properties
The calculation puts the electronic total energy at -4.955 eV/atom. Its calculated density is 6.72 g/cm³.

---

# 4
LaMgTcGe2: relaxed, GGA-PBE.

Cell and atoms, written as POSCAR:
```
LaMgTcGe2
1.0
-2.095 2.095 5.779
2.095 -2.095 5.779
2.095 2.095 -5.779
Ge La Mg Tc
2 1 1 1
Cartesian
0.000 0.000 4.439
0.000 0.000 7.120
0.000 0.000 0.000
0.000 2.095 2.890
2.095 0.000 2.890
```

## Properties
The calculation puts the electronic total energy at -5.612 eV/atom. Its calculated density is 6.65 g/cm³.

---

# 5
LaGeMo: relaxed, GGA-PBE.

Cell and atoms, written as POSCAR:
```
LaGeMo
1.0
0.000 3.496 3.496
3.496 0.000 3.496
3.496 3.496 0.000
Ge La Mo
1 1 1
Cartesian
1.748 1.748 1.748
0.000 0.000 0.000
5.244 5.244 5.244
```

## Properties
The calculation puts the electronic total energy at -5.702 eV/atom. Its calculated density is 5.98 g/cm³.

---

# 6
LaGeMo: relaxed, GGA-PBE.

Cell and atoms, written as POSCAR:
```
LaGeMo
1.0
0.000 3.241 3.241
3.241 0.000 3.241
3.241 3.241 0.000
Ge La Mo
1 1 1
Cartesian
1.621 1.621 1.621
4.862 4.862 4.862
0.000 0.000 0.000
```

## Properties
The calculation puts the electronic total energy at -6.485 eV/atom. Its calculated density is 7.50 g/cm³.